a.
{"formula": "TbTh2Se4", "functional": "PBE", "state": "optimized geometry", "lattice": [[1.980, -6.771, 0.000], [1.980, 6.771, 0.000], [0.000, 0.000, 14.521]], "species": ["Tb", "Tb", "Th", "Th", "Th", "Th", "Se", "Se", "Se", "Se", "Se", "Se", "Se", "Se"], "frac_coords": [[0.114, 0.886, 0.750], [0.886, 0.114, 0.250], [0.356, 0.644, 0.565], [0.356, 0.644, 0.935], [0.644, 0.356, 0.065], [0.644, 0.356, 0.435], [0.000, 0.000, 0.000], [0.000, 0.000, 0.500], [0.292, 0.708, 0.132], [0.292, 0.708, 0.368], [0.456, 0.544, 0.750], [0.544, 0.456, 0.250], [0.708, 0.292, 0.632], [0.708, 0.292, 0.868]], "sg": "Cmcm"}

***

b.
{"formula": "TbTh2Se4", "functional": "PBE", "state": "optimized geometry", "lattice": [[-4.368, 4.368, 4.506], [4.368, -4.368, 4.506], [4.368, 4.368, -4.506]], "species": ["Tb", "Tb", "Th", "Th", "Th", "Th", "Se", "Se", "Se", "Se", "Se", "Se", "Se", "Se"], "frac_coords": [[0.000, 0.000, 0.000], [0.750, 0.250, 0.500], [0.260, 0.625, 0.135], [0.375, 0.510, 0.635], [0.490, 0.125, 0.865], [0.875, 0.740, 0.365], [0.115, 0.218, 0.742], [0.123, 0.726, 0.758], [0.274, 0.032, 0.397], [0.476, 0.373, 0.258], [0.627, 0.885, 0.103], [0.635, 0.877, 0.603], [0.782, 0.524, 0.897], [0.968, 0.365, 0.242]], "sg": "I-42d"}

***

Energies, relative to the best one, in kJ/mol of atoms: a 1.4; b 0.0.

***

a.
{"formula": "Tb4TlSe2", "functional": "PBE", "state": "optimized geometry", "lattice": [[2.040, -6.756, 0.000], [2.040, 6.756, 0.000], [0.000, 0.000, 13.994]], "species": ["Tb", "Tb", "Tb", "Tb", "Tb", "Tb", "Tb", "Tb", "Tl", "Tl", "Se", "Se", "Se", "Se"], "frac_coords": [[0.000, 0.000, 0.000], [0.000, 0.000, 0.500], [0.270, 0.730, 0.622], [0.270, 0.730, 0.878], [0.431, 0.569, 0.250], [0.569, 0.431, 0.750], [0.730, 0.270, 0.122], [0.730, 0.270, 0.378], [0.105, 0.895, 0.250], [0.895, 0.105, 0.750], [0.364, 0.636, 0.059], [0.364, 0.636, 0.441], [0.636, 0.364, 0.559], [0.636, 0.364, 0.941]], "sg": "Cmcm"}

***

b.
{"formula": "Tb4TlSe2", "functional": "PBE", "state": "optimized geometry", "lattice": [[1.962, 1.133, 14.590], [-1.962, 1.133, 14.590], [0.000, -2.266, 14.590]], "species": ["Tb", "Tb", "Tb", "Tb", "Tl", "Se", "Se"], "frac_coords": [[0.134, 0.134, 0.134], [0.281, 0.281, 0.281], [0.719, 0.719, 0.719], [0.866, 0.866, 0.866], [0.000, 0.000, 0.000], [0.426, 0.426, 0.426], [0.574, 0.574, 0.574]], "sg": "R-3m"}

***

Energies, relative to the best one, in kJ/mol of atoms: a 0.0; b 5.5.

***

a.
{"formula": "Tb2TlSe", "functional": "PBE", "state": "optimized geometry", "lattice": [[3.910, 0.000, 0.000], [-1.955, 3.386, 0.000], [0.000, 0.000, 24.852]], "species": ["Tb", "Tb", "Tb", "Tb", "Tb", "Tb", "Tl", "Tl", "Tl", "Se", "Se", "Se"], "frac_coords": [[0.000, 0.000, 0.000], [0.000, 0.000, 0.192], [0.333, 0.667, 0.667], [0.333, 0.667, 0.859], [0.667, 0.333, 0.333], [0.667, 0.333, 0.525], [0.000, 0.000, 0.429], [0.333, 0.667, 0.096], [0.667, 0.333, 0.763], [0.000, 0.000, 0.597], [0.333, 0.667, 0.264], [0.667, 0.333, 0.930]], "sg": "R3m"}

***

b.
{"formula": "Tb2TlSe", "functional": "PBE", "state": "optimized geometry", "lattice": [[3.961, 0.000, 0.000], [-1.981, 3.431, 0.000], [0.000, 0.000, 24.009]], "species": ["Tb", "Tb", "Tb", "Tb", "Tb", "Tb", "Tl", "Tl", "Tl", "Se", "Se", "Se"], "frac_coords": [[0.000, 0.000, 0.239], [0.000, 0.000, 0.761], [0.333, 0.667, 0.427], [0.333, 0.667, 0.906], [0.667, 0.333, 0.094], [0.667, 0.333, 0.573], [0.000, 0.000, 0.000], [0.333, 0.667, 0.667], [0.667, 0.333, 0.333], [0.000, 0.000, 0.500], [0.333, 0.667, 0.167], [0.667, 0.333, 0.833]], "sg": "R-3m"}

***

Energies, relative to the best one, in kJ/mol of atoms: a 4.7; b 0.0.

***

a.
{"formula": "TbTmSe2", "functional": "PBE", "state": "optimized geometry", "lattice": [[4.233, 0.000, 0.000], [0.000, 9.152, 0.000], [0.000, 0.000, 6.377]], "species": ["Tb", "Tb", "Tm", "Tm", "Se", "Se", "Se", "Se"], "frac_coords": [[0.000, 0.166, 0.000], [0.500, 0.834, 0.500], [0.000, 0.583, 0.135], [0.500, 0.417, 0.635], [0.000, 0.332, 0.367], [0.000, 0.899, 0.238], [0.500, 0.101, 0.738], [0.500, 0.668, 0.867]], "sg": "Pmn2_1"}

***

b.
{"formula": "TbTmSe2", "functional": "PBE", "state": "optimized geometry", "lattice": [[3.929, 0.000, 0.000], [-1.965, 3.403, 0.000], [0.000, 0.000, 21.413]], "species": ["Tb", "Tb", "Tb", "Tm", "Tm", "Tm", "Se", "Se", "Se", "Se", "Se", "Se"], "frac_coords": [[0.000, 0.000, 0.000], [0.333, 0.667, 0.667], [0.667, 0.333, 0.333], [0.000, 0.000, 0.177], [0.333, 0.667, 0.843], [0.667, 0.333, 0.510], [0.000, 0.000, 0.422], [0.000, 0.000, 0.588], [0.333, 0.667, 0.089], [0.333, 0.667, 0.254], [0.667, 0.333, 0.756], [0.667, 0.333, 0.921]], "sg": "R3m"}

***

c.
{"formula": "TbTmSe2", "functional": "PBE", "state": "optimized geometry", "lattice": [[4.054, 0.000, 0.000], [-2.027, 3.511, 0.000], [0.000, 0.000, 19.884]], "species": ["Tb", "Tb", "Tb", "Tm", "Tm", "Tm", "Se", "Se", "Se", "Se", "Se", "Se"], "frac_coords": [[0.000, 0.000, 0.000], [0.333, 0.667, 0.667], [0.667, 0.333, 0.333], [0.000, 0.000, 0.500], [0.333, 0.667, 0.167], [0.667, 0.333, 0.833], [0.000, 0.000, 0.247], [0.000, 0.000, 0.753], [0.333, 0.667, 0.419], [0.333, 0.667, 0.914], [0.667, 0.333, 0.086], [0.667, 0.333, 0.581]], "sg": "R-3m"}

***

Energies, relative to the best one, in kJ/mol of atoms: a 34.7; b 1.2; c 0.0.

***

a.
{"formula": "TbTm3Se4", "functional": "PBE", "state": "optimized geometry", "lattice": [[8.184, 0.000, 0.000], [0.000, 11.419, 0.000], [0.000, 0.000, 3.978]], "species": ["Tb", "Tb", "Tm", "Tm", "Tm", "Tm", "Tm", "Tm", "Se", "Se", "Se", "Se", "Se", "Se", "Se", "Se"], "frac_coords": [[0.000, 0.000, 0.000], [0.500, 0.500, 0.000], [0.000, 0.500, 0.000], [0.250, 0.250, 0.500], [0.250, 0.750, 0.500], [0.500, 0.000, 0.000], [0.750, 0.250, 0.500], [0.750, 0.750, 0.500], [0.000, 0.253, 0.000], [0.000, 0.747, 0.000], [0.245, 0.500, 0.500], [0.255, 0.000, 0.500], [0.500, 0.247, 0.000], [0.500, 0.753, 0.000], [0.745, 0.000, 0.500], [0.755, 0.500, 0.500]], "sg": "Cmmm"}

***

b.
{"formula": "TbTm3Se4", "functional": "PBE", "state": "optimized geometry", "lattice": [[5.710, 0.000, 0.000], [0.000, 5.710, 0.000], [0.000, 0.000, 5.710]], "species": ["Tb", "Tm", "Tm", "Tm", "Se", "Se", "Se", "Se"], "frac_coords": [[0.000, 0.000, 0.000], [0.000, 0.500, 0.500], [0.500, 0.000, 0.500], [0.500, 0.500, 0.000], [0.000, 0.000, 0.500], [0.000, 0.500, 0.000], [0.500, 0.000, 0.000], [0.500, 0.500, 0.500]], "sg": "Pm-3m"}

***

Energies, relative to the best one, in kJ/mol of atoms: a 0.0; b 1.2.

***

a.
{"formula": "TbTm2Se3", "functional": "PBE", "state": "optimized geometry", "lattice": [[12.800, 0.000, 0.000], [0.000, 5.700, 0.000], [-1.282, 0.000, 3.844]], "species": ["Tb", "Tb", "Tm", "Tm", "Tm", "Tm", "Se", "Se", "Se", "Se", "Se", "Se"], "frac_coords": [[0.000, 0.000, 0.000], [0.500, 0.500, 0.000], [0.162, 0.500, 0.664], [0.338, 0.000, 0.336], [0.662, 0.000, 0.664], [0.838, 0.500, 0.336], [0.000, 0.500, 0.000], [0.172, 0.000, 0.670], [0.328, 0.500, 0.330], [0.500, 0.000, 0.000], [0.672, 0.500, 0.670], [0.828, 0.000, 0.330]], "sg": "C2/m"}

***

b.
{"formula": "TbTm2Se3", "functional": "PBE", "state": "optimized geometry", "lattice": [[6.827, 0.000, 0.000], [0.000, 3.934, 0.000], [-2.284, 0.000, 10.508]], "species": ["Tb", "Tb", "Tm", "Tm", "Tm", "Tm", "Se", "Se", "Se", "Se", "Se", "Se"], "frac_coords": [[0.025, 0.250, 0.330], [0.975, 0.750, 0.670], [0.248, 0.250, 0.996], [0.473, 0.250, 0.670], [0.527, 0.750, 0.330], [0.752, 0.750, 0.004], [0.141, 0.750, 0.159], [0.257, 0.750, 0.501], [0.369, 0.750, 0.840], [0.631, 0.250, 0.160], [0.743, 0.250, 0.499], [0.859, 0.250, 0.841]], "sg": "P2_1/m"}

***

Energies, relative to the best one, in kJ/mol of atoms: a 0.0; b 1.2.

***

a.
{"formula": "Tb2Tm2Se5", "functional": "PBE", "state": "optimized geometry", "lattice": [[8.667, -1.965, 0.000], [8.667, 1.965, 0.000], [-0.350, 0.000, 7.378]], "species": ["Tb", "Tb", "Tm", "Tm", "Se", "Se", "Se", "Se", "Se"], "frac_coords": [[0.028, 0.028, 0.281], [0.972, 0.972, 0.719], [0.342, 0.342, 0.088], [0.658, 0.658, 0.912], [0.187, 0.187, 0.172], [0.409, 0.409, 0.432], [0.500, 0.500, 0.000], [0.591, 0.591, 0.568], [0.813, 0.813, 0.828]], "sg": "C2/m"}

***

b.
{"formula": "Tb2Tm2Se5", "functional": "PBE", "state": "optimized geometry", "lattice": [[7.309, -3.807, 0.000], [7.309, 3.807, 0.000], [0.000, 0.000, 7.596]], "species": ["Tb", "Tb", "Tb", "Tb", "Tm", "Tm", "Tm", "Tm", "Se", "Se", "Se", "Se", "Se", "Se", "Se", "Se", "Se", "Se"], "frac_coords": [[0.197, 0.197, 0.000], [0.303, 0.303, 0.500], [0.697, 0.697, 0.500], [0.803, 0.803, 0.000], [0.150, 0.850, 0.655], [0.350, 0.650, 0.155], [0.650, 0.350, 0.845], [0.850, 0.150, 0.345], [0.000, 0.000, 0.000], [0.022, 0.702, 0.345], [0.202, 0.522, 0.845], [0.298, 0.978, 0.345], [0.478, 0.798, 0.845], [0.500, 0.500, 0.500], [0.522, 0.202, 0.155], [0.702, 0.022, 0.655], [0.798, 0.478, 0.155], [0.978, 0.298, 0.655]], "sg": "Cmce"}

***

Energies, relative to the best one, in kJ/mol of atoms: a 3.4; b 0.0.

***

a.
{"formula": "Tb3Tm2Se6", "functional": "PBE", "state": "optimized geometry", "lattice": [[3.510, -6.053, 0.000], [3.510, 6.053, 0.000], [-2.333, 0.000, 6.591]], "species": ["Tb", "Tb", "Tb", "Tm", "Tm", "Se", "Se", "Se", "Se", "Se", "Se"], "frac_coords": [[0.000, 0.000, 0.000], [0.335, 0.665, 0.000], [0.665, 0.335, 0.000], [0.165, 0.835, 0.500], [0.835, 0.165, 0.500], [0.089, 0.420, 0.258], [0.251, 0.251, 0.738], [0.420, 0.089, 0.258], [0.580, 0.911, 0.742], [0.749, 0.749, 0.262], [0.911, 0.580, 0.742]], "sg": "C2/m"}

***

b.
{"formula": "Tb3Tm2Se6", "functional": "PBE", "state": "optimized geometry", "lattice": [[2.044, 1.180, 20.305], [-2.044, 1.180, 20.305], [0.000, -2.360, 20.305]], "species": ["Tb", "Tb", "Tb", "Tm", "Tm", "Se", "Se", "Se", "Se", "Se", "Se"], "frac_coords": [[0.000, 0.000, 0.000], [0.279, 0.279, 0.279], [0.721, 0.721, 0.721], [0.446, 0.446, 0.446], [0.554, 0.554, 0.554], [0.083, 0.083, 0.083], [0.198, 0.198, 0.198], [0.361, 0.361, 0.361], [0.639, 0.639, 0.639], [0.802, 0.802, 0.802], [0.917, 0.917, 0.917]], "sg": "R-3m"}

***

Energies, relative to the best one, in kJ/mol of atoms: a 0.0; b 6.6.

***

a.
{"formula": "Tb2USe5", "functional": "PBE", "state": "optimized geometry", "lattice": [[2.815, -6.804, 0.000], [2.815, 6.804, 0.000], [0.000, 0.000, 13.725]], "species": ["Tb", "Tb", "Tb", "Tb", "U", "U", "Se", "Se", "Se", "Se", "Se", "Se", "Se", "Se", "Se", "Se"], "frac_coords": [[0.148, 0.852, 0.557], [0.148, 0.852, 0.943], [0.852, 0.148, 0.057], [0.852, 0.148, 0.443], [0.201, 0.799, 0.250], [0.799, 0.201, 0.750], [0.047, 0.953, 0.122], [0.047, 0.953, 0.378], [0.250, 0.750, 0.750], [0.320, 0.680, 0.074], [0.320, 0.680, 0.426], [0.680, 0.320, 0.574], [0.680, 0.320, 0.926], [0.750, 0.250, 0.250], [0.953, 0.047, 0.622], [0.953, 0.047, 0.878]], "sg": "Cmcm"}

***

b.
{"formula": "Tb2USe5", "functional": "PBE", "state": "optimized geometry", "lattice": [[0.000, 4.758, 7.692], [2.802, 0.000, 7.692], [2.802, 4.758, 0.000]], "species": ["Tb", "Tb", "U", "Se", "Se", "Se", "Se", "Se"], "frac_coords": [[0.181, 0.181, 0.819], [0.819, 0.819, 0.181], [0.500, 0.500, 0.500], [0.000, 0.000, 0.000], [0.181, 0.510, 0.490], [0.490, 0.819, 0.181], [0.510, 0.181, 0.819], [0.819, 0.490, 0.510]], "sg": "Fmmm"}

***

Energies, relative to the best one, in kJ/mol of atoms: a 0.0; b 20.3.

***

a.
{"formula": "TbU2Se4", "functional": "PBE", "state": "optimized geometry", "lattice": [[1.950, -6.730, 0.000], [1.950, 6.730, 0.000], [0.000, 0.000, 14.054]], "species": ["Tb", "Tb", "U", "U", "U", "U", "Se", "Se", "Se", "Se", "Se", "Se", "Se", "Se"], "frac_coords": [[0.115, 0.885, 0.750], [0.885, 0.115, 0.250], [0.361, 0.639, 0.566], [0.361, 0.639, 0.934], [0.639, 0.361, 0.066], [0.639, 0.361, 0.434], [0.000, 0.000, 0.000], [0.000, 0.000, 0.500], [0.284, 0.716, 0.128], [0.284, 0.716, 0.372], [0.457, 0.543, 0.750], [0.543, 0.457, 0.250], [0.716, 0.284, 0.628], [0.716, 0.284, 0.872]], "sg": "Cmcm"}

***

b.
{"formula": "TbU2Se4", "functional": "PBE", "state": "optimized geometry", "lattice": [[-4.058, 4.082, 5.707], [4.058, -4.082, 5.707], [4.058, 4.082, -5.707]], "species": ["Tb", "Tb", "U", "U", "U", "U", "Se", "Se", "Se", "Se", "Se", "Se", "Se", "Se"], "frac_coords": [[0.500, 0.000, 0.000], [0.500, 0.500, 0.500], [0.000, 0.000, 0.000], [0.000, 0.000, 0.500], [0.000, 0.500, 0.000], [0.500, 0.000, 0.500], [0.243, 0.742, 0.501], [0.250, 0.252, 0.502], [0.250, 0.748, 0.998], [0.258, 0.258, 0.001], [0.742, 0.742, 0.999], [0.750, 0.252, 0.002], [0.750, 0.748, 0.498], [0.757, 0.258, 0.499]], "sg": "Imma"}

***

Energies, relative to the best one, in kJ/mol of atoms: a 5.9; b 0.0.